# Li2InRe | Alexandria via LeMat-Bulk | PBE | optimized geometry
data_Li2InRe
_chemical_formula_sum 'Li4 In2 Re2'
_cell_length_a 3.292
_cell_length_b 4.314
_cell_length_c 9.367
_cell_angle_alpha 90.00
_cell_angle_beta 90.00
_cell_angle_gamma 90.00
_symmetry_space_group_name_H-M 'P 1'
_symmetry_Int_Tables_number 1
loop_
_symmetry_equiv_pos_as_xyz
'x,y,z'
loop_
_atom_site_label
_atom_site_fract_x
_atom_site_fract_y
_atom_site_fract_z
Li1 0.000 0.000 0.231
Li2 0.000 0.000 0.769
Li3 0.500 0.500 0.231
Li4 0.500 0.500 0.769
In1 0.000 0.500 0.500
In2 0.500 0.000 0.500
Re1 0.000 0.500 0.000
Re2 0.500 0.000 0.000
# **N(E_F)**: 0.464 states/eV per atom
# **ΔE_f**: 0.23 eV per atom
# **Symmetry**: No. 65
# **VASP energy**: -4.53 eV per atom

# Li2InRe | Alexandria via LeMat-Bulk | PBE | optimized geometry
data_Li2InRe
_chemical_formula_sum 'Li4 In2 Re2'
_cell_length_a 2.833
_cell_length_b 4.796
_cell_length_c 9.782
_cell_angle_alpha 90.00
_cell_angle_beta 90.00
_cell_angle_gamma 90.00
_symmetry_space_group_name_H-M 'P 1'
_symmetry_Int_Tables_number 1
loop_
_symmetry_equiv_pos_as_xyz
'x,y,z'
loop_
_atom_site_label
_atom_site_fract_x
_atom_site_fract_y
_atom_site_fract_z
Li1 0.000 0.000 0.243
Li2 0.000 0.000 0.757
Li3 0.500 0.500 0.257
Li4 0.500 0.500 0.743
In1 0.000 0.500 0.000
In2 0.500 0.000 0.500
Re1 0.000 0.500 0.500
Re2 0.500 0.000 0.000
# **N(E_F)**: 0.398 states/eV per atom
# **ΔE_f**: 0.27 eV per atom
# **Symmetry**: No. 71
# **VASP energy**: -4.49 eV per atom

# Li2InRe | Alexandria via LeMat-Bulk | PBE | optimized geometry
data_Li2InRe
_chemical_formula_sum 'Li2 In1 Re1'
_cell_length_a 2.775
_cell_length_b 4.791
_cell_length_c 4.975
_cell_angle_alpha 90.00
_cell_angle_beta 92.74
_cell_angle_gamma 90.00
_symmetry_space_group_name_H-M 'P 1'
_symmetry_Int_Tables_number 1
loop_
_symmetry_equiv_pos_as_xyz
'x,y,z'
loop_
_atom_site_label
_atom_site_fract_x
_atom_site_fract_y
_atom_site_fract_z
Li1 0.217 0.000 0.213
Li2 0.783 0.000 0.787
In1 0.000 0.500 0.500
Re1 0.500 0.500 0.000
# **N(E_F)**: 0.644 states/eV per atom
# **ΔE_f**: 0.27 eV per atom
# **Symmetry**: No. 10
# **VASP energy**: -4.49 eV per atom

# LiInRe2Sn | Alexandria via LeMat-Bulk | PBE | optimized geometry
data_LiInRe2Sn
_chemical_formula_sum 'Li1 In1 Re2 Sn1'
_cell_length_a 4.964
_cell_length_b 4.964
_cell_length_c 4.360
_cell_angle_alpha 90.00
_cell_angle_beta 90.00
_cell_angle_gamma 90.00
_symmetry_space_group_name_H-M 'P 1'
_symmetry_Int_Tables_number 1
loop_
_symmetry_equiv_pos_as_xyz
'x,y,z'
loop_
_atom_site_label
_atom_site_fract_x
_atom_site_fract_y
_atom_site_fract_z
Li1 0.000 0.000 0.000
In1 0.000 0.000 0.500
Re1 0.000 0.500 0.500
Re2 0.500 0.000 0.500
Sn1 0.500 0.500 0.000
# **N(E_F)**: 0.632 states/eV per atom
# **ΔE_f**: 1.74 eV per atom
# **Symmetry**: No. 123
# **VASP energy**: -4.97 eV per atom

# LiTiInRe2 | Alexandria via LeMat-Bulk | PBE | optimized geometry
data_LiTiInRe2
_chemical_formula_sum 'Li1 Ti1 In1 Re2'
_cell_length_a 4.612
_cell_length_b 4.612
_cell_length_c 5.241
_cell_angle_alpha 90.00
_cell_angle_beta 90.00
_cell_angle_gamma 90.00
_symmetry_space_group_name_H-M 'P 1'
_symmetry_Int_Tables_number 1
loop_
_symmetry_equiv_pos_as_xyz
'x,y,z'
loop_
_atom_site_label
_atom_site_fract_x
_atom_site_fract_y
_atom_site_fract_z
Li1 0.000 0.000 0.000
Ti1 0.500 0.500 0.500
In1 0.500 0.500 0.000
Re1 0.000 0.500 0.500
Re2 0.500 0.000 0.500
# **N(E_F)**: 1.024 states/eV per atom
# **ΔE_f**: 1.42 eV per atom
# **Symmetry**: No. 123
# **VASP energy**: -6.07 eV per atom

# LiInRh | Alexandria via LeMat-Bulk | PBE | optimized geometry
data_LiInRh
_chemical_formula_sum 'Li4 In4 Rh4'
_cell_length_a 6.167
_cell_length_b 6.167
_cell_length_c 6.167
_cell_angle_alpha 90.00
_cell_angle_beta 90.00
_cell_angle_gamma 90.00
_symmetry_space_group_name_H-M 'P 1'
_symmetry_Int_Tables_number 1
loop_
_symmetry_equiv_pos_as_xyz
'x,y,z'
loop_
_atom_site_label
_atom_site_fract_x
_atom_site_fract_y
_atom_site_fract_z
Li1 0.000 0.000 0.000
Li2 0.000 0.500 0.500
Li3 0.500 0.000 0.500
Li4 0.500 0.500 0.000
In1 0.000 0.000 0.500
In2 0.000 0.500 0.000
In3 0.500 0.000 0.000
In4 0.500 0.500 0.500
Rh1 0.250 0.250 0.250
Rh2 0.250 0.750 0.750
Rh3 0.750 0.250 0.750
Rh4 0.750 0.750 0.250
# **N(E_F)**: 0.446 states/eV per atom
# **ΔE_f**: -0.14 eV per atom
# **Symmetry**: No. 216
# **VASP energy**: -4.15 eV per atom

# LiInRh2 | Alexandria via LeMat-Bulk | PBE | optimized geometry
data_LiInRh2
_chemical_formula_sum 'Li3 In3 Rh6'
_cell_length_a 2.988
_cell_length_b 2.988
_cell_length_c 24.678
_cell_angle_alpha 90.00
_cell_angle_beta 90.00
_cell_angle_gamma 120.00
_symmetry_space_group_name_H-M 'P 1'
_symmetry_Int_Tables_number 1
loop_
_symmetry_equiv_pos_as_xyz
'x,y,z'
loop_
_atom_site_label
_atom_site_fract_x
_atom_site_fract_y
_atom_site_fract_z
Li1 0.000 0.000 0.000
Li2 0.333 0.667 0.667
Li3 0.667 0.333 0.333
In1 0.000 0.000 0.500
In2 0.333 0.667 0.167
In3 0.667 0.333 0.833
Rh1 0.000 0.000 0.252
Rh2 0.000 0.000 0.748
Rh3 0.333 0.667 0.415
Rh4 0.333 0.667 0.919
Rh5 0.667 0.333 0.081
Rh6 0.667 0.333 0.585
# **N(E_F)**: 1.124 states/eV per atom
# **ΔE_f**: -0.05 eV per atom
# **Symmetry**: No. 166
# **VASP energy**: -4.89 eV per atom

# LiInRh2 | Alexandria via LeMat-Bulk | PBE | optimized geometry
data_LiInRh2
_chemical_formula_sum 'Li2 In2 Rh4'
_cell_length_a 3.120
_cell_length_b 4.586
_cell_length_c 8.396
_cell_angle_alpha 90.00
_cell_angle_beta 90.00
_cell_angle_gamma 90.00
_symmetry_space_group_name_H-M 'P 1'
_symmetry_Int_Tables_number 1
loop_
_symmetry_equiv_pos_as_xyz
'x,y,z'
loop_
_atom_site_label
_atom_site_fract_x
_atom_site_fract_y
_atom_site_fract_z
Li1 0.000 0.000 0.000
Li2 0.500 0.500 0.500
In1 0.000 0.000 0.500
In2 0.500 0.500 0.000
Rh1 0.000 0.500 0.264
Rh2 0.000 0.500 0.736
Rh3 0.500 0.000 0.236
Rh4 0.500 0.000 0.764
# **N(E_F)**: 0.614 states/eV per atom
# **ΔE_f**: -0.22 eV per atom
# **Symmetry**: No. 71
# **VASP energy**: -5.06 eV per atom